Entry 1:
4
Lattice="-1.587 2.629 2.247 -0.417 -3.696 0.807 7.335 0.242 4.899" Properties=species:S:1:pos:R:3 comment="PPb3, relaxed, DFT GGA-PBEsol" space_group=P-6m2 e_above_lowest_polymorph_mev_per_atom=0 dos_at_fermi_per_ev_atom=0.54 pbc="T T T"
P 0.000 0.000 0.000
Pb 3.668 0.121 2.450
Pb 5.044 -1.394 5.195
Pb 0.676 -1.538 2.278

Entry 2:
32
Lattice="6.679 0.000 0.000 0.000 9.653 -0.014 0.000 -2.957 10.367" Properties=species:S:1:pos:R:3 comment="P7Pb, relaxed, DFT GGA-PBEsol" space_group=P2_1/c pbc="T T T"
P 4.134 3.251 3.797
P 0.794 0.097 1.380
P 2.545 3.445 6.556
P 5.885 6.599 8.973
P 3.914 1.560 0.914
P 0.574 1.788 4.262
P 2.765 5.137 9.439
P 6.105 4.908 6.091
P 6.208 3.313 3.011
P 2.869 0.035 2.165
P 0.471 3.383 7.342
P 3.811 6.661 8.188
P 0.516 4.952 4.126
P 3.855 8.050 1.036
P 6.164 1.745 6.227
P 2.824 -1.353 9.317
P 3.935 4.921 0.921
P 0.595 8.081 4.241
P 2.744 1.776 9.432
P 6.084 -1.384 6.112
P 5.995 6.569 3.266
P 2.656 6.433 1.896
P 0.684 0.128 7.087
P 4.023 0.264 8.457
P 6.262 0.097 3.219
P 2.923 3.251 1.957
P 0.417 6.599 7.134
P 3.757 3.445 8.396
Pb 3.446 5.871 4.666
Pb 0.107 7.130 0.497
Pb 3.233 0.825 5.687
Pb 6.572 -0.433 9.857

Entry 3:
6
Lattice="3.282 0.000 0.000 0.000 5.128 0.585 -1.641 -1.196 7.686" Properties=species:S:1:pos:R:3 comment="P2Pb, relaxed, DFT GGA-PBEsol" space_group=C2/m e_above_lowest_polymorph_mev_per_atom=0 dos_at_fermi_per_ev_atom=0.19 pbc="T T T"
Pb 1.641 3.392 3.261
Pb 0.000 0.541 5.010
P 0.000 2.955 6.520
P 1.641 2.837 8.005
P 0.000 1.095 0.266
P 1.641 0.978 1.751

Entry 4:
5
Lattice="4.148 0.000 0.000 2.074 3.593 0.000 2.074 1.198 8.761" Properties=species:S:1:pos:R:3 comment="P2Pb3, relaxed, DFT GGA-PBEsol" space_group=R-3m dos_at_fermi_per_ev_atom=0.18 pbc="T T T"
Pb 0.000 0.000 0.000
Pb 2.074 1.198 3.102
Pb 6.222 3.593 5.659
P 4.148 2.395 1.715
P 4.148 2.395 7.046

Entry 5:
6
Lattice="-3.249 -3.626 -0.354 4.676 -0.790 -1.159 1.092 -1.510 5.437" Properties=species:S:1:pos:R:3 comment="P2Pb, relaxed, DFT GGA-PBEsol" space_group=P6_3/mmc e_above_lowest_polymorph_mev_per_atom=618 dos_at_fermi_per_ev_atom=0.59 pbc="T T T"
P 0.000 0.000 0.000
P 0.546 -0.755 2.719
P -0.334 -3.058 0.737
P 2.854 -2.868 3.187
Pb 0.212 -3.813 3.455
Pb 2.307 -2.113 0.469

Entry 6:
4
Lattice="-1.411 2.927 0.661 -4.109 -3.791 2.478 5.308 0.636 2.969" Properties=species:S:1:pos:R:3 comment="PPb3, relaxed, DFT GGA-PBEsol" space_group=R-3m e_above_lowest_polymorph_mev_per_atom=162 dos_at_fermi_per_ev_atom=0.53 pbc="T T T"
P 0.000 0.000 0.000
Pb 1.949 1.782 1.815
Pb -2.760 -0.432 1.569
Pb 0.600 -1.578 2.723

Entry 7:
6
Lattice="-0.485 2.637 -1.894 1.405 -2.569 -3.936 -7.503 -3.640 -0.303" Properties=species:S:1:pos:R:3 comment="P2Pb, relaxed, DFT GGA-PBEsol" space_group=Cmcm e_above_lowest_polymorph_mev_per_atom=11 dos_at_fermi_per_ev_atom=0.26 pbc="T T T"
Pb -3.838 -3.392 -3.741
Pb -2.745 -0.179 -2.391
P -0.726 -1.068 -4.147
P 0.920 -1.966 -2.974
P -7.503 -1.604 -3.159
P -5.857 -2.502 -1.986

Entry 8:
6
Lattice="4.133 0.000 0.000 0.000 4.133 0.000 -2.067 -2.067 7.322" Properties=species:S:1:pos:R:3 comment="P2Pb, relaxed, DFT GGA-PBEsol" space_group=I4_1/amd e_above_lowest_polymorph_mev_per_atom=302 dos_at_fermi_per_ev_atom=0.41 pbc="T T T"
P 2.067 0.000 4.835
P 0.000 0.000 6.148
P 2.067 0.000 2.487
P 2.067 2.067 1.174
Pb 0.000 2.067 3.661
Pb 0.000 0.000 0.000

Entry 9:
4
Lattice="-3.080 -2.799 -2.193 3.465 -3.012 -1.022 -0.796 -2.284 4.034" Properties=species:S:1:pos:R:3 comment="PPb3, relaxed, DFT GGA-PBEsol" space_group=Pm-3m e_above_lowest_polymorph_mev_per_atom=96 dos_at_fermi_per_ev_atom=0.55 pbc="T T T"
P 0.000 0.000 0.000
Pb 1.334 -2.648 1.506
Pb -1.938 -2.542 0.921
Pb 0.193 -2.906 -1.607

Entry 10:
5
Lattice="4.701 0.000 0.000 0.000 4.701 0.000 0.000 0.000 4.701" Properties=species:S:1:pos:R:3 comment="P3PdPb, relaxed, DFT GGA-PBEsol" space_group=Pm-3m dos_at_fermi_per_ev_atom=1.33 pbc="T T T"
Pb 2.350 2.350 2.350
P 0.000 2.350 0.000
P 0.000 0.000 2.350
P 2.350 0.000 0.000
Pd 0.000 0.000 0.000

Entry 11:
5
Lattice="4.924 0.000 0.000 0.000 4.896 0.000 0.000 0.000 4.896" Properties=species:S:1:pos:R:3 comment="ZrPPd2Pb, relaxed, DFT GGA-PBEsol" space_group=P4/mmm dos_at_fermi_per_ev_atom=0.51 pbc="T T T"
Pb 2.462 2.448 2.448
P 2.462 0.000 0.000
Zr 0.000 0.000 0.000
Pd 0.000 0.000 2.448
Pd 0.000 2.448 0.000

Entry 12:
6
Lattice="-1.500 5.147 0.422 -3.521 1.473 3.789 1.637 2.943 4.193" Properties=species:S:1:pos:R:3 comment="P4PtPb, relaxed, DFT GGA-PBEsol" space_group=F-43m dos_at_fermi_per_ev_atom=0.35 pbc="T T T"
P -3.130 4.462 2.990
P -1.313 3.185 5.175
P -0.143 5.313 3.225
P -2.182 6.166 5.419
Pb -0.846 2.391 2.101
Pt 0.000 0.000 0.000

Entry 13:
5
Lattice="-3.582 -0.694 -3.649 -1.637 -4.255 2.416 -0.918 5.473 3.508" Properties=species:S:1:pos:R:3 comment="RbP2Pb2, relaxed, DFT GGA-PBEsol" space_group=I4/mmm dos_at_fermi_per_ev_atom=0.62 pbc="T T T"
Pb -2.445 2.079 2.005
Pb -3.691 -1.555 0.271
P -2.582 -0.628 2.654
P -3.554 1.152 -0.378
Rb 0.000 0.000 0.000

Entry 14:
4
Lattice="4.188 0.000 0.000 -2.094 4.275 -0.007 0.000 -2.045 3.654" Properties=species:S:1:pos:R:3 comment="Re2PPb, relaxed, DFT GGA-PBEsol" space_group=I-4m2 e_above_lowest_polymorph_mev_per_atom=0 dos_at_fermi_per_ev_atom=0.84 pbc="T T T"
P 2.094 -1.022 1.827
Pb 0.000 0.604 2.737
Re 0.000 0.000 0.000
Re 2.094 1.626 0.910

Entry 15:
4
Lattice="-0.261 -0.306 2.997 4.506 -2.487 -0.024 -0.070 5.110 -0.928" Properties=species:S:1:pos:R:3 comment="Re2PPb, relaxed, DFT GGA-PBEsol" space_group=C2/m e_above_lowest_polymorph_mev_per_atom=151 dos_at_fermi_per_ev_atom=0.95 pbc="T T T"
P -0.130 -0.153 1.498
Pb 2.253 -1.243 -0.012
Re -0.035 2.555 -0.464
Re 2.088 1.159 1.022

Entry 16:
4
Lattice="4.466 0.000 0.000 2.233 3.867 0.000 2.233 1.289 3.646" Properties=species:S:1:pos:R:3 comment="PRh2Pb, relaxed, DFT GGA-PBEsol" space_group=Fm-3m dos_at_fermi_per_ev_atom=1.47 pbc="T T T"
P 4.466 2.578 1.823
Pb 0.000 0.000 0.000
Rh 2.233 1.289 0.912
Rh 6.698 3.867 2.735

Entry 17:
5
Lattice="4.855 0.000 0.000 0.000 4.855 0.000 0.000 0.000 4.855" Properties=species:S:1:pos:R:3 comment="PRh3Pb, relaxed, DFT GGA-PBEsol" space_group=Pm-3m dos_at_fermi_per_ev_atom=1.41 pbc="T T T"
Pb 0.000 0.000 0.000
P 2.428 2.428 2.428
Rh 0.000 2.428 0.000
Rh 0.000 0.000 2.428
Rh 2.428 0.000 0.000

Entry 18:
4
Lattice="-1.945 -0.521 -2.120 -1.761 -4.437 2.707 -1.298 5.100 1.954" Properties=species:S:1:pos:R:3 comment="P2RuPb, relaxed, DFT GGA-PBEsol" space_group=Immm dos_at_fermi_per_ev_atom=0.63 pbc="T T T"
P -3.082 -1.456 1.170
P -1.922 1.599 1.371
Pb -0.973 -0.261 -1.060
Ru -0.880 -2.218 1.353

Entry 19:
4
Lattice="3.634 0.000 0.000 0.000 3.880 0.000 -1.817 -1.940 6.547" Properties=species:S:1:pos:R:3 comment="PRuPb2, relaxed, DFT GGA-PBEsol" space_group=Imm2 dos_at_fermi_per_ev_atom=0.50 pbc="T T T"
P 0.000 1.940 2.287
Pb 1.817 1.940 6.327
Pb 1.817 0.000 3.470
Ru 1.817 1.940 1.010

Entry 20:
4
Lattice="2.975 0.000 0.000 -1.487 4.027 -0.007 0.000 -1.027 5.778" Properties=species:S:1:pos:R:3 comment="PRu2Pb, relaxed, DFT GGA-PBEsol" space_group=Cm dos_at_fermi_per_ev_atom=0.46 pbc="T T T"
P 1.487 -0.429 3.909
Pb 1.487 1.736 1.313
Ru 1.487 2.873 5.475
Ru 0.000 1.307 3.735

Number 1: total energy -4.3025 eV/atom. Number 2: total energy -5.5613 eV/atom. Number 3: total energy -5.1759 eV/atom. Number 4: total energy -4.6641 eV/atom. Number 5: total energy -4.5575 eV/atom. Number 6: total energy -4.1409 eV/atom. Number 7: total energy -5.1654 eV/atom. Number 8: total energy -4.8744 eV/atom. Number 9: total energy -4.2068 eV/atom. Number 10: total energy -4.8649 eV/atom. Number 11: total energy -5.8081 eV/atom. Number 12: total energy -5.1601 eV/atom. Number 13: total energy -4.0928 eV/atom. Number 14: total energy -8.1480 eV/atom. Number 15: total energy -7.9966 eV/atom. Number 16: total energy -6.3729 eV/atom. Number 17: total energy -4.9324 eV/atom. Number 18: total energy -6.1595 eV/atom. Number 19: total energy -5.8370 eV/atom. Number 20: total energy -7.5433 eV/atom.